Below is crystalline CeThRuI at its relaxed geometry, with properties calculated at the GGA-PBE level.

The structure in POSCAR format:
```
CeThRuI
1.0
2.057 1.188 8.226
-2.057 1.188 8.226
0.000 -2.375 8.226
Ce Th Ru I
1 1 1 1
Direct
0.000 0.000 0.000
0.212 0.212 0.212
0.604 0.604 0.604
0.771 0.771 0.771
```

Computed properties:
- Uncorrected formation energy: -691 meV per atom
- Symmetry: R3m, No. 160